[1]
VASP calculation (PBE) on a relaxed Ag2Te crystal.

Unit cell a=4.4225 b=4.4225 c=5.5124 alpha=90.00 beta=90.00 gamma=120.00
Closest atoms and distances in Å follow each position.
Sites, in units of the cell vectors:
1 Ag 0.0000 0.0000 0.2486  2 Ag 2.74-2.77, 3 Te 2.90
2 Ag 0.0000 0.0000 0.7514  2 Ag 2.74-2.77, 3 Te 2.90
3 Te 0.3333 0.6667 0.0000  6 Ag 2.90

ΔE_f (raw): 0.30 eV/atom
Density: 6.106 g/cm3

---

[2]
VASP calculation (PBE) on a relaxed AgTe4 crystal.

Unit cell a=4.1603 b=4.1603 c=19.9515 alpha=90.00 beta=90.00 gamma=90.00
Closest atoms and distances in Å follow each position.
Sites, in units of the cell vectors:
1 Ag 0.0000 0.0000 0.0000  8 Te 3.25
2 Ag 0.5000 0.5000 0.5000  8 Te 3.25
3 Te 0.0000 0.0000 0.4313  1 Te 2.74
4 Te 0.0000 0.0000 0.5687  1 Te 2.74
5 Te 0.0000 0.5000 0.2500  4 Te 2.94
6 Te 0.0000 0.5000 0.7500  4 Te 2.94
7 Te 0.5000 0.0000 0.2500  4 Te 2.94
8 Te 0.5000 0.0000 0.7500  4 Te 2.94
9 Te 0.5000 0.5000 0.0687  1 Te 2.74
10 Te 0.5000 0.5000 0.9313  1 Te 2.74

Energy above the most stable polymorph in this dataset: 136.7 meV/atom
ΔE_f (raw): 0.23 eV/atom
Density: 5.946 g/cm3

---

[3]
VASP calculation (PBE) on a relaxed AgTe3 crystal.

Unit cell a=7.7306 b=7.5887 c=8.1158 alpha=90.00 beta=90.00 gamma=90.00
Closest atoms and distances in Å follow each position.
Sites, in units of the cell vectors:
1 Ag 0.0916 0.2500 0.1331  6 Te 2.97-3.12
2 Ag 0.4084 0.7500 0.6331  6 Te 2.97-3.12
3 Ag 0.5916 0.2500 0.3669  6 Te 2.97-3.12
4 Ag 0.9084 0.7500 0.8669  6 Te 2.97-3.12
5 Te 0.0704 0.2500 0.6595  2 Te 2.89
6 Te 0.2179 0.5188 0.8687  1 Te 2.89, 3 Ag 2.97-3.12
7 Te 0.2179 0.9812 0.8687  1 Te 2.89, 3 Ag 2.97-3.12
8 Te 0.2821 0.0188 0.3687  1 Te 2.89, 3 Ag 2.97-3.12
9 Te 0.2821 0.4812 0.3687  1 Te 2.89, 3 Ag 2.97-3.12
10 Te 0.4296 0.7500 0.1595  2 Te 2.89
11 Te 0.5704 0.2500 0.8405  2 Te 2.89
12 Te 0.7179 0.5188 0.6313  1 Te 2.89, 3 Ag 2.97-3.12
13 Te 0.7179 0.9812 0.6313  1 Te 2.89, 3 Ag 2.97-3.12
14 Te 0.7821 0.0188 0.1313  1 Te 2.89, 3 Ag 2.97-3.12
15 Te 0.7821 0.4812 0.1313  1 Te 2.89, 3 Ag 2.97-3.12
16 Te 0.9296 0.7500 0.3405  2 Te 2.89

ΔE_f (raw): 0.09 eV/atom
Density: 6.845 g/cm3

---

[4]
VASP calculation (PBE) on a relaxed Ag3Te5 crystal.

Unit cell a=8.1788 b=12.7957 c=4.2092 alpha=90.00 beta=90.00 gamma=90.00
Closest atoms and distances in Å follow each position.
Sites, in units of the cell vectors:
1 Ag 0.0000 0.0000 0.0000  4 Te 2.82
2 Ag 0.0000 0.1900 0.5000  6 Te 3.03-3.08, 2 Ag 3.22
3 Ag 0.0000 0.8100 0.5000  6 Te 3.03-3.08, 2 Ag 3.22
4 Ag 0.5000 0.3100 0.5000  6 Te 3.03-3.08, 2 Ag 3.22
5 Ag 0.5000 0.5000 0.0000  4 Te 2.82
6 Ag 0.5000 0.6900 0.5000  6 Te 3.03-3.08, 2 Ag 3.22
7 Te 0.0000 0.5000 0.0000  4 Te 3.05
8 Te 0.2304 0.0000 0.5000  4 Ag 2.82-3.08, 2 Te 3.05
9 Te 0.2500 0.2500 0.0000  4 Ag 3.03
10 Te 0.2500 0.7500 0.0000  4 Ag 3.03
11 Te 0.2696 0.5000 0.5000  4 Ag 2.82-3.08, 2 Te 3.05
12 Te 0.5000 0.0000 0.0000  4 Te 3.05
13 Te 0.7304 0.5000 0.5000  4 Ag 2.82-3.08, 2 Te 3.05
14 Te 0.7500 0.2500 0.0000  4 Ag 3.03
15 Te 0.7500 0.7500 0.0000  4 Ag 3.03
16 Te 0.7696 0.0000 0.5000  4 Ag 2.82-3.08, 2 Te 3.05

Energy above the most stable polymorph in this dataset: 146.4 meV/atom
ΔE_f (raw): 0.22 eV/atom
Density: 7.250 g/cm3

---

Repeat the third record exactly.
VASP calculation (PBE) on a relaxed AgTe3 crystal.

Unit cell a=7.7306 b=7.5887 c=8.1158 alpha=90.00 beta=90.00 gamma=90.00
Closest atoms and distances in Å follow each position.
Sites, in units of the cell vectors:
1 Ag 0.0916 0.2500 0.1331  6 Te 2.97-3.12
2 Ag 0.4084 0.7500 0.6331  6 Te 2.97-3.12
3 Ag 0.5916 0.2500 0.3669  6 Te 2.97-3.12
4 Ag 0.9084 0.7500 0.8669  6 Te 2.97-3.12
5 Te 0.0704 0.2500 0.6595  2 Te 2.89
6 Te 0.2179 0.5188 0.8687  1 Te 2.89, 3 Ag 2.97-3.12
7 Te 0.2179 0.9812 0.8687  1 Te 2.89, 3 Ag 2.97-3.12
8 Te 0.2821 0.0188 0.3687  1 Te 2.89, 3 Ag 2.97-3.12
9 Te 0.2821 0.4812 0.3687  1 Te 2.89, 3 Ag 2.97-3.12
10 Te 0.4296 0.7500 0.1595  2 Te 2.89
11 Te 0.5704 0.2500 0.8405  2 Te 2.89
12 Te 0.7179 0.5188 0.6313  1 Te 2.89, 3 Ag 2.97-3.12
13 Te 0.7179 0.9812 0.6313  1 Te 2.89, 3 Ag 2.97-3.12
14 Te 0.7821 0.0188 0.1313  1 Te 2.89, 3 Ag 2.97-3.12
15 Te 0.7821 0.4812 0.1313  1 Te 2.89, 3 Ag 2.97-3.12
16 Te 0.9296 0.7500 0.3405  2 Te 2.89

ΔE_f (raw): 0.09 eV/atom
Density: 6.845 g/cm3